[1]
# TcPtIO2 (SCAN, PBEsol geometry)
data_TcPtIO2
_chemical_formula_sum 'Tc1 Pt1 I1 O2'
_cell_length_a 3.793
_cell_length_b 3.793
_cell_length_c 7.140
_cell_angle_alpha 90.00
_cell_angle_beta 90.00
_cell_angle_gamma 90.00
_space_group_name_H-M_alt 'P 1'
_space_group_IT_number 1
loop_
_space_group_symop_operation_xyz
'x,y,z'
loop_
_atom_site_label
_atom_site_fract_x
_atom_site_fract_y
_atom_site_fract_z
I1 0.000 0.000 0.500
O1 0.000 0.500 0.000
O2 0.500 0.000 0.000
Tc1 0.500 0.500 0.500
Pt1 0.000 0.000 0.000
# symmetry	P4/mmm
# uncorrected formation energy	0.56	eV per atom
# E_tot	-151.6	eV per cell

***

[2]
# Te2PtIO (SCAN, PBEsol geometry)
data_Te2PtIO
_chemical_formula_sum 'Te2 Pt1 I1 O1'
_cell_length_a 5.200
_cell_length_b 5.200
_cell_length_c 5.452
_cell_angle_alpha 90.00
_cell_angle_beta 90.00
_cell_angle_gamma 90.00
_space_group_name_H-M_alt 'P 1'
_space_group_IT_number 1
loop_
_space_group_symop_operation_xyz
'x,y,z'
loop_
_atom_site_label
_atom_site_fract_x
_atom_site_fract_y
_atom_site_fract_z
I1 0.000 0.000 0.500
Te1 0.000 0.500 0.000
Te2 0.500 0.000 0.000
O1 0.500 0.500 0.500
Pt1 0.000 0.000 0.000
# symmetry	P4/mmm
# uncorrected formation energy	0.73	eV per atom
# E_tot	-184.0	eV per cell

***

[3]
# PtWIO2 (SCAN, PBEsol geometry)
data_PtWIO2
_chemical_formula_sum 'Pt1 W1 I1 O2'
_cell_length_a 3.801
_cell_length_b 3.801
_cell_length_c 5.861
_cell_angle_alpha 90.00
_cell_angle_beta 90.00
_cell_angle_gamma 90.00
_space_group_name_H-M_alt 'P 1'
_space_group_IT_number 1
loop_
_space_group_symop_operation_xyz
'x,y,z'
loop_
_atom_site_label
_atom_site_fract_x
_atom_site_fract_y
_atom_site_fract_z
I1 0.000 0.000 0.500
O1 0.000 0.500 0.000
O2 0.500 0.000 0.000
W1 0.000 0.000 0.000
Pt1 0.500 0.500 0.500
# symmetry	P4/mmm
# uncorrected formation energy	-0.68	eV per atom
# E_tot	-192.5	eV per cell

***

[4]
# PuI4O12 (SCAN, PBEsol geometry)
data_PuI4O12
_chemical_formula_sum 'Pu2 I8 O24'
_cell_length_a 5.265
_cell_length_b 9.732
_cell_length_c 9.732
_cell_angle_alpha 90.00
_cell_angle_beta 90.00
_cell_angle_gamma 90.00
_space_group_name_H-M_alt 'P 1'
_space_group_IT_number 1
loop_
_space_group_symop_operation_xyz
'x,y,z'
loop_
_atom_site_label
_atom_site_fract_x
_atom_site_fract_y
_atom_site_fract_z
Pu1 0.000 0.500 0.500
Pu2 0.500 0.000 0.000
I1 0.969 0.999 0.277
I2 0.531 0.499 0.777
I3 0.531 0.501 0.223
I4 0.031 0.277 0.001
I5 0.469 0.223 0.499
I6 0.031 0.723 0.999
I7 0.469 0.777 0.501
I8 0.969 0.001 0.723
O1 0.798 0.587 0.693
O2 0.202 0.693 0.413
O3 0.513 0.913 0.376
O4 0.304 0.577 0.652
O5 0.696 0.348 0.577
O6 0.298 0.193 0.913
O7 0.804 0.152 0.923
O8 0.202 0.307 0.587
O9 0.298 0.807 0.087
O10 0.696 0.652 0.423
O11 0.987 0.587 0.124
O12 0.513 0.087 0.624
O13 0.487 0.376 0.087
O14 0.702 0.913 0.807
O15 0.702 0.087 0.193
O16 0.487 0.624 0.913
O17 0.196 0.077 0.152
O18 0.304 0.423 0.348
O19 0.013 0.124 0.413
O20 0.013 0.876 0.587
O21 0.987 0.413 0.876
O22 0.196 0.923 0.848
O23 0.798 0.413 0.307
O24 0.804 0.848 0.077
# symmetry	P4_2/n
# uncorrected formation energy	-0.86	eV per atom
# E_tot	-693.1	eV per cell

***

[5]
# Rb3IO5 (SCAN, PBEsol geometry)
data_Rb3IO5
_chemical_formula_sum 'Rb6 I2 O10'
_cell_length_a 6.302
_cell_length_b 6.302
_cell_length_c 8.760
_cell_angle_alpha 90.00
_cell_angle_beta 90.00
_cell_angle_gamma 94.75
_space_group_name_H-M_alt 'P 1'
_space_group_IT_number 1
loop_
_space_group_symop_operation_xyz
'x,y,z'
loop_
_atom_site_label
_atom_site_fract_x
_atom_site_fract_y
_atom_site_fract_z
I1 0.737 0.737 0.750
I2 0.263 0.263 0.250
O1 0.521 0.521 0.750
O2 0.479 0.479 0.250
O3 0.837 0.837 0.563
O4 0.163 0.163 0.437
O5 0.163 0.163 0.063
O6 0.837 0.837 0.937
O7 0.540 0.944 0.750
O8 0.056 0.460 0.250
O9 0.460 0.056 0.250
O10 0.944 0.540 0.750
Rb1 0.203 0.203 0.750
Rb2 0.797 0.797 0.250
Rb3 0.733 0.267 0.000
Rb4 0.267 0.733 0.500
Rb5 0.267 0.733 0.000
Rb6 0.733 0.267 0.500
# symmetry	Cmcm
# uncorrected formation energy	-1.28	eV per atom
# E_tot	-283.2	eV per cell

***

[6]
# Rb3IO (SCAN, PBEsol geometry)
data_Rb3IO
_chemical_formula_sum 'Rb18 I6 O6'
_cell_length_a 7.828
_cell_length_b 7.828
_cell_length_c 19.591
_cell_angle_alpha 90.00
_cell_angle_beta 90.00
_cell_angle_gamma 120.00
_space_group_name_H-M_alt 'P 1'
_space_group_IT_number 1
loop_
_space_group_symop_operation_xyz
'x,y,z'
loop_
_atom_site_label
_atom_site_fract_x
_atom_site_fract_y
_atom_site_fract_z
Rb1 0.834 0.668 0.081
Rb2 0.834 0.668 0.419
Rb3 0.332 0.166 0.419
Rb4 0.668 0.834 0.919
Rb5 0.166 0.332 0.919
Rb6 0.166 0.834 0.581
Rb7 0.332 0.166 0.081
Rb8 0.834 0.166 0.419
Rb9 0.834 0.166 0.081
Rb10 0.482 0.518 0.750
Rb11 0.166 0.332 0.581
Rb12 0.668 0.834 0.581
Rb13 0.518 0.482 0.250
Rb14 0.518 0.037 0.250
Rb15 0.963 0.482 0.250
Rb16 0.037 0.518 0.750
Rb17 0.482 0.963 0.750
Rb18 0.166 0.834 0.919
I1 0.333 0.667 0.085
I2 0.667 0.333 0.585
I3 0.667 0.333 0.915
I4 0.333 0.667 0.415
I5 0.000 0.000 0.750
I6 0.000 0.000 0.250
O1 0.333 0.667 0.840
O2 0.667 0.333 0.340
O3 0.667 0.333 0.160
O4 0.333 0.667 0.660
O5 0.000 0.000 0.000
O6 0.000 0.000 0.500
# symmetry	P6_3/mmc
# uncorrected formation energy	-1.36	eV per atom
# E_tot	-671.8	eV per cell

***

[7]
# RbRuI2O (SCAN, PBEsol geometry)
data_RbRuI2O
_chemical_formula_sum 'Rb1 Ru1 I2 O1'
_cell_length_a 4.122
_cell_length_b 6.278
_cell_length_c 6.278
_cell_angle_alpha 90.00
_cell_angle_beta 90.00
_cell_angle_gamma 90.00
_space_group_name_H-M_alt 'P 1'
_space_group_IT_number 1
loop_
_space_group_symop_operation_xyz
'x,y,z'
loop_
_atom_site_label
_atom_site_fract_x
_atom_site_fract_y
_atom_site_fract_z
I1 0.000 0.000 0.500
I2 0.000 0.500 0.000
Ru1 0.500 0.500 0.500
O1 0.500 0.000 0.000
Rb1 0.000 0.000 0.000
# symmetry	P4/mmm
# uncorrected formation energy	1.08	eV per atom
# E_tot	-129.9	eV per cell

***

[8]
# RbSbIO2 (SCAN, PBEsol geometry)
data_RbSbIO2
_chemical_formula_sum 'Rb1 Sb1 I1 O2'
_cell_length_a 4.713
_cell_length_b 4.713
_cell_length_c 6.747
_cell_angle_alpha 90.00
_cell_angle_beta 90.00
_cell_angle_gamma 90.00
_space_group_name_H-M_alt 'P 1'
_space_group_IT_number 1
loop_
_space_group_symop_operation_xyz
'x,y,z'
loop_
_atom_site_label
_atom_site_fract_x
_atom_site_fract_y
_atom_site_fract_z
I1 0.000 0.000 0.500
Sb1 0.500 0.500 0.500
O1 0.000 0.500 0.000
O2 0.500 0.000 0.000
Rb1 0.000 0.000 0.000
# symmetry	P4/mmm
# uncorrected formation energy	0.62	eV per atom
# E_tot	-104.1	eV per cell

***

[9]
# RbTaI2O (SCAN, PBEsol geometry)
data_RbTaI2O
_chemical_formula_sum 'Rb1 Ta1 I2 O1'
_cell_length_a 3.929
_cell_length_b 5.890
_cell_length_c 5.890
_cell_angle_alpha 90.00
_cell_angle_beta 90.00
_cell_angle_gamma 90.00
_space_group_name_H-M_alt 'P 1'
_space_group_IT_number 1
loop_
_space_group_symop_operation_xyz
'x,y,z'
loop_
_atom_site_label
_atom_site_fract_x
_atom_site_fract_y
_atom_site_fract_z
I1 0.000 0.000 0.500
I2 0.000 0.500 0.000
O1 0.500 0.000 0.000
Rb1 0.500 0.500 0.500
Ta1 0.000 0.000 0.000
# symmetry	P4/mmm
# uncorrected formation energy	-1.17	eV per atom
# E_tot	-172.9	eV per cell

***

[10]
# RbWI2O (SCAN, PBEsol geometry)
data_RbWI2O
_chemical_formula_sum 'Rb1 W1 I2 O1'
_cell_length_a 3.861
_cell_length_b 5.929
_cell_length_c 5.929
_cell_angle_alpha 90.00
_cell_angle_beta 90.00
_cell_angle_gamma 90.00
_space_group_name_H-M_alt 'P 1'
_space_group_IT_number 1
loop_
_space_group_symop_operation_xyz
'x,y,z'
loop_
_atom_site_label
_atom_site_fract_x
_atom_site_fract_y
_atom_site_fract_z
I1 0.000 0.000 0.500
I2 0.000 0.500 0.000
O1 0.500 0.000 0.000
Rb1 0.500 0.500 0.500
W1 0.000 0.000 0.000
# symmetry	P4/mmm
# uncorrected formation energy	-0.75	eV per atom
# E_tot	-173.9	eV per cell

***

[11]
# RbYI2O (SCAN, PBEsol geometry)
data_RbYI2O
_chemical_formula_sum 'Rb1 Y1 I2 O1'
_cell_length_a 4.196
_cell_length_b 6.243
_cell_length_c 6.243
_cell_angle_alpha 90.00
_cell_angle_beta 90.00
_cell_angle_gamma 90.00
_space_group_name_H-M_alt 'P 1'
_space_group_IT_number 1
loop_
_space_group_symop_operation_xyz
'x,y,z'
loop_
_atom_site_label
_atom_site_fract_x
_atom_site_fract_y
_atom_site_fract_z
I1 0.000 0.000 0.500
I2 0.000 0.500 0.000
Y1 0.000 0.000 0.000
O1 0.500 0.000 0.000
Rb1 0.500 0.500 0.500
# symmetry	P4/mmm
# uncorrected formation energy	-2.10	eV per atom
# E_tot	-138.8	eV per cell

***

[12]
# RbZrI2O (SCAN, PBEsol geometry)
data_RbZrI2O
_chemical_formula_sum 'Rb1 Zr1 I2 O1'
_cell_length_a 4.038
_cell_length_b 5.980
_cell_length_c 5.980
_cell_angle_alpha 90.00
_cell_angle_beta 90.00
_cell_angle_gamma 90.00
_space_group_name_H-M_alt 'P 1'
_space_group_IT_number 1
loop_
_space_group_symop_operation_xyz
'x,y,z'
loop_
_atom_site_label
_atom_site_fract_x
_atom_site_fract_y
_atom_site_fract_z
I1 0.000 0.000 0.500
I2 0.000 0.500 0.000
Zr1 0.000 0.000 0.000
Rb1 0.500 0.500 0.500
O1 0.500 0.000 0.000
# symmetry	P4/mmm
# uncorrected formation energy	-1.76	eV per atom
# E_tot	-139.9	eV per cell